Record 1
DFT (PBE) results for an optimized crystal structure of Nb4Os.

Cell: 6.032 5.428 4.681 Å, 72.85 59.29 47.86°
Atoms (fractional coordinates):
1 Nb 0.170 0.830 0.170
2 Nb 0.250 0.250 0.250
3 Nb 0.750 0.750 0.750
4 Nb 0.830 0.170 0.830
5 Os 0.500 0.500 0.500

Results
total magnetization = 0.000 Bohr magnetons per cell
VASP energy = -9.62 eV per atom
polymorph energy (0 for the lowest one) = 513 meV/atom
E_form = 679 meV/atom
calculated volume = 19.49 Å³/atom
space group = Fmmm
crystal system = orthorhombic

=====

Record 2
DFT (PBE) results for an optimized crystal structure of Nb4Os.

Cell: 7.250 7.250 7.250 Å, 135.01 135.01 65.51°
Atoms (fractional coordinates):
1 Nb 0.161 0.814 0.878
2 Nb 0.217 0.339 0.154
3 Nb 0.314 0.937 0.654
4 Nb 0.437 0.283 0.622
5 Nb 0.563 0.717 0.378
6 Nb 0.686 0.063 0.346
7 Nb 0.783 0.661 0.846
8 Nb 0.839 0.186 0.122
9 Os 0.125 0.375 0.750
10 Os 0.875 0.625 0.250

Results
total magnetization = 0.000 Bohr magnetons per cell
VASP energy = -10.14 eV per atom
polymorph energy (0 for the lowest one) = 0 meV/atom
E_form = 166 meV/atom
calculated volume = 18.76 Å³/atom
space group = I4_1/a
crystal system = tetragonal

=====

Copy entry 1 word for word.
DFT (PBE) results for an optimized crystal structure of Nb4Os.

Cell: 6.032 5.428 4.681 Å, 72.85 59.29 47.86°
Atoms (fractional coordinates):
1 Nb 0.170 0.830 0.170
2 Nb 0.250 0.250 0.250
3 Nb 0.750 0.750 0.750
4 Nb 0.830 0.170 0.830
5 Os 0.500 0.500 0.500

Results
total magnetization = 0.000 Bohr magnetons per cell
VASP energy = -9.62 eV per atom
polymorph energy (0 for the lowest one) = 513 meV/atom
E_form = 679 meV/atom
calculated volume = 19.49 Å³/atom
space group = Fmmm
crystal system = orthorhombic

=====

- The highest VASP energy belongs to which entry?
  number 1

=====

- What is the formula in the second record?
  Nb4Os

=====

- Look up the VASP energy of the first one.
  -9.62 eV per atom